[1]
# SrCuSb2 | Alexandria | PBE-GGA | relaxed
data_SrCuSb2
_cell_length_a 4.640
_cell_length_b 4.640
_cell_length_c 17.521
_cell_angle_alpha 90.00
_cell_angle_beta 90.00
_cell_angle_gamma 120.00
_space_group_name_H-M_alt 'P 1'
_space_group_IT_number 1
_space_group_name_Hall 'P 1'
loop_
_atom_site_label
_atom_site_fract_x
_atom_site_fract_y
_atom_site_fract_z
Sr1 0.000 0.000 0.000
Sr2 0.333 0.667 0.667
Sr3 0.667 0.333 0.333
Cu1 0.000 0.000 0.500
Cu2 0.333 0.667 0.167
Cu3 0.667 0.333 0.833
Sb1 0.000 0.000 0.217
Sb2 0.000 0.000 0.783
Sb3 0.333 0.667 0.450
Sb4 0.333 0.667 0.884
Sb5 0.667 0.333 0.116
Sb6 0.667 0.333 0.550
# - theoretical density (g cm⁻³) = 6.018
# - SG = R-3m
# - total magnetization (μB/atom) = 0.0000
# - ΔE_f (raw) (eV/f.u.) = -0.99



[2]
# SmSnSb2 | Alexandria | PBE-GGA | relaxed
data_SmSnSb2
_cell_length_a 4.768
_cell_length_b 4.768
_cell_length_c 25.664
_cell_angle_alpha 90.00
_cell_angle_beta 90.00
_cell_angle_gamma 120.00
_space_group_name_H-M_alt 'P 1'
_space_group_IT_number 1
_space_group_name_Hall 'P 1'
loop_
_atom_site_label
_atom_site_fract_x
_atom_site_fract_y
_atom_site_fract_z
Sm1 0.000 0.000 0.000
Sm2 0.333 0.667 0.667
Sm3 0.667 0.333 0.333
Sn1 0.000 0.000 0.500
Sn2 0.333 0.667 0.167
Sn3 0.667 0.333 0.833
Sb1 0.000 0.000 0.392
Sb2 0.000 0.000 0.608
Sb3 0.333 0.667 0.059
Sb4 0.333 0.667 0.274
Sb5 0.667 0.333 0.726
Sb6 0.667 0.333 0.941
# - theoretical density (g cm⁻³) = 5.054
# - SG = R-3m
# - total magnetization (μB/atom) = 0.0000
# - ΔE_f (raw) (eV/f.u.) = 0.03
# - distance to the lowest polymorph of the same formula (meV/atom) = 528.5



[3]
# Tb6CSe4 | Alexandria | PBE-GGA | relaxed
data_Tb6CSe4
_cell_length_a 7.990
_cell_length_b 7.990
_cell_length_c 7.990
_cell_angle_alpha 89.16
_cell_angle_beta 89.16
_cell_angle_gamma 89.16
_space_group_name_H-M_alt 'P 1'
_space_group_IT_number 1
_space_group_name_Hall 'P 1'
loop_
_atom_site_label
_atom_site_fract_x
_atom_site_fract_y
_atom_site_fract_z
Tb1 0.055 0.928 0.708
Tb2 0.072 0.292 0.945
Tb3 0.208 0.428 0.555
Tb4 0.292 0.945 0.072
Tb5 0.428 0.555 0.208
Tb6 0.445 0.792 0.572
Tb7 0.555 0.208 0.428
Tb8 0.572 0.445 0.792
Tb9 0.708 0.055 0.928
Tb10 0.792 0.572 0.445
Tb11 0.928 0.708 0.055
Tb12 0.945 0.072 0.292
C1 0.000 0.000 0.000
C2 0.500 0.500 0.500
Se1 0.126 0.750 0.374
Se2 0.250 0.250 0.250
Se3 0.250 0.626 0.874
Se4 0.374 0.126 0.750
Se5 0.626 0.874 0.250
Se6 0.750 0.374 0.126
Se7 0.750 0.750 0.750
Se8 0.874 0.250 0.626
# - theoretical density (g cm⁻³) = 8.346
# - SG = R-3c
# - total magnetization (μB/atom) = 0.0000
# - ΔE_f (raw) (eV/f.u.) = -13.20



[4]
# InIr2F | Alexandria | PBE-GGA | relaxed
data_InIr2F
_cell_length_a 3.590
_cell_length_b 3.590
_cell_length_c 20.829
_cell_angle_alpha 90.00
_cell_angle_beta 90.00
_cell_angle_gamma 90.00
_space_group_name_H-M_alt 'P 1'
_space_group_IT_number 1
_space_group_name_Hall 'P 1'
loop_
_atom_site_label
_atom_site_fract_x
_atom_site_fract_y
_atom_site_fract_z
In1 0.000 0.000 0.000
In2 0.000 0.500 0.250
In3 0.500 0.000 0.750
In4 0.500 0.500 0.500
Ir1 0.244 0.250 0.625
Ir2 0.250 0.744 0.875
Ir3 0.250 0.756 0.375
Ir4 0.256 0.250 0.125
Ir5 0.744 0.750 0.125
Ir6 0.750 0.244 0.375
Ir7 0.750 0.256 0.875
Ir8 0.756 0.750 0.625
F1 0.000 0.000 0.500
F2 0.000 0.500 0.750
F3 0.500 0.000 0.250
F4 0.500 0.500 0.000
# - theoretical density (g cm⁻³) = 12.825
# - SG = I-42d
# - total magnetization (μB/atom) = 0.0000
# - ΔE_f (raw) (eV/f.u.) = -0.21
# - distance to the lowest polymorph of the same formula (meV/atom) = 0.0



[5]
# Nb12Cu5Sn3 | Alexandria | PBE-GGA | relaxed
data_Nb12Cu5Sn3
_cell_length_a 13.190
_cell_length_b 13.190
_cell_length_c 13.190
_cell_angle_alpha 109.47
_cell_angle_beta 109.47
_cell_angle_gamma 109.47
_space_group_name_H-M_alt 'P 1'
_space_group_IT_number 1
_space_group_name_Hall 'P 1'
loop_
_atom_site_label
_atom_site_fract_x
_atom_site_fract_y
_atom_site_fract_z
Nb1 0.056 0.216 0.134
Nb2 0.056 0.340 0.922
Nb3 0.078 0.634 0.418
Nb4 0.078 0.944 0.660
Nb5 0.082 0.716 0.660
Nb6 0.082 0.866 0.422
Nb7 0.134 0.056 0.216
Nb8 0.134 0.578 0.918
Nb9 0.160 0.216 0.582
Nb10 0.160 0.444 0.578
Nb11 0.216 0.134 0.056
Nb12 0.216 0.582 0.160
Nb13 0.284 0.340 0.918
Nb14 0.284 0.444 0.366
Nb15 0.340 0.918 0.284
Nb16 0.340 0.922 0.056
Nb17 0.366 0.284 0.444
Nb18 0.366 0.582 0.922
Nb19 0.418 0.078 0.634
Nb20 0.418 0.840 0.784
Nb21 0.422 0.082 0.866
Nb22 0.422 0.840 0.556
Nb23 0.444 0.366 0.284
Nb24 0.444 0.578 0.160
Nb25 0.556 0.422 0.840
Nb26 0.556 0.634 0.716
Nb27 0.578 0.160 0.444
Nb28 0.578 0.918 0.134
Nb29 0.582 0.160 0.216
Nb30 0.582 0.922 0.366
Nb31 0.634 0.418 0.078
Nb32 0.634 0.716 0.556
Nb33 0.660 0.078 0.944
Nb34 0.660 0.082 0.716
Nb35 0.716 0.556 0.634
Nb36 0.716 0.660 0.082
Nb37 0.784 0.418 0.840
Nb38 0.784 0.866 0.944
Nb39 0.840 0.556 0.422
Nb40 0.840 0.784 0.418
Nb41 0.866 0.422 0.082
Nb42 0.866 0.944 0.784
Nb43 0.918 0.134 0.578
Nb44 0.918 0.284 0.340
Nb45 0.922 0.056 0.340
Nb46 0.922 0.366 0.582
Nb47 0.944 0.660 0.078
Nb48 0.944 0.784 0.866
Cu1 0.000 0.000 0.000
Cu2 0.000 0.000 0.500
Cu3 0.000 0.500 0.000
Cu4 0.000 0.500 0.500
Cu5 0.125 0.750 0.875
Cu6 0.125 0.875 0.250
Cu7 0.250 0.125 0.875
Cu8 0.250 0.625 0.375
Cu9 0.375 0.250 0.625
Cu10 0.375 0.625 0.750
Cu11 0.500 0.000 0.000
Cu12 0.500 0.000 0.500
Cu13 0.500 0.500 0.000
Cu14 0.500 0.500 0.500
Cu15 0.625 0.375 0.250
Cu16 0.625 0.750 0.375
Cu17 0.750 0.375 0.625
Cu18 0.750 0.875 0.125
Cu19 0.875 0.125 0.750
Cu20 0.875 0.250 0.125
Sn1 0.125 0.250 0.375
Sn2 0.125 0.375 0.750
Sn3 0.250 0.375 0.125
Sn4 0.250 0.875 0.625
Sn5 0.375 0.125 0.250
Sn6 0.375 0.750 0.125
Sn7 0.625 0.250 0.875
Sn8 0.625 0.875 0.750
Sn9 0.750 0.125 0.375
Sn10 0.750 0.625 0.875
Sn11 0.875 0.625 0.250
Sn12 0.875 0.750 0.625
# - energy of formation from the pure elements (meV/atom) = 910
# - theoretical density (g cm⁻³) = 6.726
# - SG = Ia-3d
# - total magnetization (μB/atom) = 0.0000



[6]
# LiAcInGa | Alexandria | PBE-GGA | relaxed
data_LiAcInGa
_cell_length_a 7.385
_cell_length_b 7.385
_cell_length_c 7.385
_cell_angle_alpha 90.00
_cell_angle_beta 90.00
_cell_angle_gamma 90.00
_space_group_name_H-M_alt 'P 1'
_space_group_IT_number 1
_space_group_name_Hall 'P 1'
loop_
_atom_site_label
_atom_site_fract_x
_atom_site_fract_y
_atom_site_fract_z
Li1 0.000 0.000 0.000
Li2 0.000 0.500 0.500
Li3 0.500 0.000 0.500
Li4 0.500 0.500 0.000
Ac1 0.250 0.250 0.750
Ac2 0.250 0.750 0.250
Ac3 0.750 0.250 0.250
Ac4 0.750 0.750 0.750
In1 0.250 0.250 0.250
In2 0.250 0.750 0.750
In3 0.750 0.250 0.750
In4 0.750 0.750 0.250
Ga1 0.000 0.000 0.500
Ga2 0.000 0.500 0.000
Ga3 0.500 0.000 0.000
Ga4 0.500 0.500 0.500
# - energy of formation from the pure elements (meV/atom) = -299
# - theoretical density (g cm⁻³) = 6.903
# - SG = F-43m
# - total magnetization (μB/atom) = 0.0000
# - distance to the lowest polymorph of the same formula (meV/atom) = 88.4



[7]
# BePtAu2 | Alexandria | PBE-GGA | relaxed
data_BePtAu2
_cell_length_a 2.909
_cell_length_b 2.909
_cell_length_c 7.009
_cell_angle_alpha 90.00
_cell_angle_beta 90.00
_cell_angle_gamma 90.00
_space_group_name_H-M_alt 'P 1'
_space_group_IT_number 1
_space_group_name_Hall 'P 1'
loop_
_atom_site_label
_atom_site_fract_x
_atom_site_fract_y
_atom_site_fract_z
Be1 0.000 0.000 0.000
Pt1 0.000 0.000 0.500
Au1 0.500 0.500 0.209
Au2 0.500 0.500 0.791
# - energy of formation from the pure elements (meV/atom) = -105
# - theoretical density (g cm⁻³) = 16.744
# - SG = P4/mmm
# - total magnetization (μB/atom) = 0.0000



[8]
# Pb2AuO2 | Alexandria | PBE-GGA | relaxed
data_Pb2AuO2
_cell_length_a 7.477
_cell_length_b 7.477
_cell_length_c 3.450
_cell_angle_alpha 90.00
_cell_angle_beta 90.00
_cell_angle_gamma 90.00
_space_group_name_H-M_alt 'P 1'
_space_group_IT_number 1
_space_group_name_Hall 'P 1'
loop_
_atom_site_label
_atom_site_fract_x
_atom_site_fract_y
_atom_site_fract_z
Pb1 0.164 0.336 0.000
Pb2 0.336 0.836 0.000
Pb3 0.664 0.164 0.000
Pb4 0.836 0.664 0.000
Au1 0.000 0.000 0.500
Au2 0.500 0.500 0.500
O1 0.189 0.689 0.500
O2 0.311 0.189 0.500
O3 0.689 0.811 0.500
O4 0.811 0.311 0.500
# - theoretical density (g cm⁻³) = 11.076
# - SG = P4/mbm
# - total magnetization (μB/atom) = 0.0000
# - ΔE_f (raw) (eV/f.u.) = -1.90
# - distance to the lowest polymorph of the same formula (meV/atom) = 127.3